This record from Alexandria describes a relaxed structure of CaPr2Hg5. The functional is PBE-GGA.

a = 5.2256 Å, b = 5.2256 Å, c = 8.6987 Å
α = 107.48°, β = 107.48°, γ = 90.00°
With the nearest neighbours (Å) after each atom.
Fractional coordinates of all 8 atoms:
Hg 0.5000 0.5000 0.0000  8 Hg 3.23
Hg 0.6210 0.1210 0.2420  4 Pr 3.18-3.45, 2 Ca 3.23, 2 Hg 3.23
Hg 0.1210 0.6210 0.2420  4 Pr 3.18-3.45, 2 Hg 3.23, 2 Ca 3.23
Hg 0.3790 0.8790 0.7580  4 Pr 3.18-3.45, 2 Ca 3.23, 2 Hg 3.23
Hg 0.8790 0.3790 0.7580  4 Pr 3.18-3.45, 2 Hg 3.23, 2 Ca 3.23
Ca 0.0000 0.0000 0.0000  8 Hg 3.23
Pr 0.7363 0.7363 0.4726  8 Hg 3.18-3.45
Pr 0.2637 0.2637 0.5274  8 Hg 3.18-3.45

## Properties
ΔH_f (0 K): -419 meV per atom
DOS at the Fermi energy: 0.82 states/eV per atom
Total magnetic moment: 0.06 μB/f.u.